The following is a DFT calculation (GGA-PBE) of crystalline Ti2NiW2 at its relaxed geometry.

Computed properties:
* formation energy from the elements: 0.723 eV/atom
* energy above the most stable polymorph in this dataset: 1.63 eV per formula unit
* volume: 17.65 Å³ per atom
* ρ: 9.8 g cm⁻³
* uncorrected energy: -8.772 eV/atom

Structure (CIF):
```
data_Ti2NiW2
_cell_length_a 3.564
_cell_length_b 3.564
_cell_length_c 13.897
_cell_angle_alpha 90.00
_cell_angle_beta 90.00
_cell_angle_gamma 90.00
_symmetry_space_group_name_H-M 'I 4/m m m'
_symmetry_Int_Tables_number 139
_symmetry_space_group_name_Hall '-I 4 2'
loop_
_atom_site_label
_atom_site_type_symbol
_atom_site_fract_x
_atom_site_fract_y
_atom_site_fract_z
Ti1 Ti 0.000 0.000 0.092
Ni1 Ni 0.000 0.000 0.500
W1 W 0.000 0.500 0.250
```

***

The following is a DFT calculation (GGA-PBE) of crystalline RuPtW2 at its relaxed geometry.

Computed properties:
* formation energy from the elements: -0.135 eV/atom
* energy above the most stable polymorph in this dataset: 0.15 eV per formula unit
* volume: 15.30 Å³ per atom
* ρ: 18.0 g cm⁻³
* uncorrected energy: -10.441 eV/atom

Structure (CIF):
```
data_RuPtW2
_cell_length_a 2.779
_cell_length_b 3.953
_cell_length_c 5.573
_cell_angle_alpha 90.00
_cell_angle_beta 90.13
_cell_angle_gamma 90.00
_symmetry_space_group_name_H-M 'P 1 2/m 1'
_symmetry_Int_Tables_number 10
loop_
_symmetry_equiv_pos_as_xyz
'x,y,z'
'-x,-y,-z'
'-x,y,-z'
'x,-y,z'
loop_
_atom_site_label
_atom_site_type_symbol
_atom_site_fract_x
_atom_site_fract_y
_atom_site_fract_z
Ru1 Ru 0.000 0.000 0.000
Pt1 Pt 0.000 0.000 0.500
W1 W 0.499 0.500 0.238
```

***

The following is a DFT calculation (GGA-PBE) of crystalline PrPu4Pa at its relaxed geometry.

Computed properties:
* formation energy from the elements: 0.331 eV/atom
* volume: 26.32 Å³ per atom
* ρ: 14.2 g cm⁻³
* uncorrected energy: -11.603 eV/atom

Structure (CIF):
```
data_PrPu4Pa
_cell_length_a 8.580
_cell_length_b 8.580
_cell_length_c 8.580
_cell_angle_alpha 90.00
_cell_angle_beta 90.00
_cell_angle_gamma 90.00
_symmetry_space_group_name_H-M 'F -4 3 m'
_symmetry_Int_Tables_number 216
_symmetry_space_group_name_Hall 'F -4 2 3'
loop_
_atom_site_label
_atom_site_type_symbol
_atom_site_fract_x
_atom_site_fract_y
_atom_site_fract_z
Pr1 Pr 0.000 0.000 0.000
Pu1 Pu 0.123 0.123 0.377
Pa1 Pa 0.250 0.250 0.750
```

***

The following is a DFT calculation (GGA-PBE) of crystalline ZnAgMo2 at its relaxed geometry.

Computed properties:
* formation energy from the elements: 0.159 eV/atom
* volume: 15.98 Å³ per atom
* ρ: 9.5 g cm⁻³
* uncorrected energy: -6.288 eV/atom

Structure (CIF):
```
data_ZnAgMo2
_cell_length_a 3.227
_cell_length_b 4.369
_cell_length_c 9.066
_cell_angle_alpha 90.00
_cell_angle_beta 90.00
_cell_angle_gamma 90.00
_symmetry_space_group_name_H-M 'C m m 2'
_symmetry_Int_Tables_number 35
loop_
_symmetry_equiv_pos_as_xyz
'x,y,z'
'-x,-y,z'
'-x,y,z'
'x,-y,z'
'x+1/2,y+1/2,z'
'-x+1/2,-y+1/2,z'
'-x+1/2,y+1/2,z'
'x+1/2,-y+1/2,z'
loop_
_atom_site_label
_atom_site_type_symbol
_atom_site_fract_x
_atom_site_fract_y
_atom_site_fract_z
Zn1 Zn 0.000 0.000 0.000
Ag1 Ag 0.000 0.500 0.753
Mo1 Mo 0.000 0.000 0.485
Mo2 Mo 0.000 0.500 0.243
```

***

The following is a DFT calculation (GGA-PBE) of crystalline Mo2RuCl at its relaxed geometry.

Computed properties:
* energy above the most stable polymorph in this dataset: 1.03 eV per formula unit
* volume: 15.85 Å³ per atom
* raw formation energy: 0.475 eV per atom
* ρ: 8.6 g cm⁻³
* uncorrected energy: -7.721 eV/atom

Structure (CIF):
```
data_Mo2RuCl
_cell_length_a 9.928
_cell_length_b 2.939
_cell_length_c 4.350
_cell_angle_alpha 90.00
_cell_angle_beta 92.23
_cell_angle_gamma 90.00
_symmetry_space_group_name_H-M 'C 1 m 1'
_symmetry_Int_Tables_number 8
loop_
_symmetry_equiv_pos_as_xyz
'x,y,z'
'x,-y,z'
'x+1/2,y+1/2,z'
'x+1/2,-y+1/2,z'
loop_
_atom_site_label
_atom_site_type_symbol
_atom_site_fract_x
_atom_site_fract_y
_atom_site_fract_z
Mo1 Mo 0.000 0.000 0.000
Mo2 Mo 0.200 0.500 0.286
Ru1 Ru 0.272 0.000 0.832
Cl1 Cl 0.487 0.000 0.553
```

***

The following is a DFT calculation (GGA-PBE) of crystalline CaLaIn2 at its relaxed geometry.

Computed properties:
* formation energy from the elements: -0.225 eV/atom
* volume: 31.72 Å³ per atom
* ρ: 5.3 g cm⁻³
* uncorrected energy: -3.326 eV/atom

Structure (CIF):
```
data_CaLaIn2
_cell_length_a 3.735
_cell_length_b 3.735
_cell_length_c 9.095
_cell_angle_alpha 90.00
_cell_angle_beta 90.00
_cell_angle_gamma 90.00
_symmetry_space_group_name_H-M 'P 4 m m'
_symmetry_Int_Tables_number 99
loop_
_symmetry_equiv_pos_as_xyz
'x,y,z'
'-y,x,z'
'-x,-y,z'
'y,-x,z'
'-x,y,z'
'y,x,z'
'x,-y,z'
'-y,-x,z'
loop_
_atom_site_label
_atom_site_type_symbol
_atom_site_fract_x
_atom_site_fract_y
_atom_site_fract_z
Ca1 Ca 0.000 0.000 0.000
La1 La 0.500 0.500 0.663
In1 In 0.000 0.000 0.424
In2 In 0.500 0.500 0.235
```

***

The following is a DFT calculation (GGA-PBE) of crystalline LiCeHg2 at its relaxed geometry.

Computed properties:
* formation energy from the elements: -0.329 eV/atom
* volume: 22.61 Å³ per atom
* ρ: 10.1 g cm⁻³
* uncorrected energy: -2.442 eV/atom

Structure (CIF):
```
data_LiCeHg2
_cell_length_a 3.428
_cell_length_b 3.428
_cell_length_c 7.698
_cell_angle_alpha 90.00
_cell_angle_beta 90.00
_cell_angle_gamma 90.00
_symmetry_space_group_name_H-M 'P 4/m m m'
_symmetry_Int_Tables_number 123
_symmetry_space_group_name_Hall '-P 4 2'
loop_
_atom_site_label
_atom_site_type_symbol
_atom_site_fract_x
_atom_site_fract_y
_atom_site_fract_z
Li1 Li 0.000 0.000 0.000
Ce1 Ce 0.000 0.000 0.500
Hg1 Hg 0.500 0.500 0.207
```

***

The following is a DFT calculation (GGA-PBE) of crystalline NdTm2Sb at its relaxed geometry.

Computed properties:
* energy above the most stable polymorph in this dataset: 0.39 eV per formula unit
* volume: 28.86 Å³ per atom
* raw formation energy: -0.451 eV per atom
* ρ: 8.7 g cm⁻³
* uncorrected energy: -4.909 eV/atom

Structure (CIF):
```
data_NdTm2Sb
_cell_length_a 3.947
_cell_length_b 3.947
_cell_length_c 7.413
_cell_angle_alpha 90.00
_cell_angle_beta 90.00
_cell_angle_gamma 90.00
_symmetry_space_group_name_H-M 'P 4/m m m'
_symmetry_Int_Tables_number 123
_symmetry_space_group_name_Hall '-P 4 2'
loop_
_atom_site_label
_atom_site_type_symbol
_atom_site_fract_x
_atom_site_fract_y
_atom_site_fract_z
Nd1 Nd 0.000 0.000 0.000
Tm1 Tm 0.500 0.500 0.282
Sb1 Sb 0.000 0.000 0.500
```

***

The following is a DFT calculation (GGA-PBE) of crystalline HoPaNi3 at its relaxed geometry.

Computed properties:
* formation energy from the elements: -0.407 eV/atom
* volume: 17.88 Å³ per atom
* ρ: 10.6 g cm⁻³
* uncorrected energy: -6.691 eV/atom

Structure (CIF):
```
data_HoPaNi3
_cell_length_a 3.585
_cell_length_b 24.600
_cell_length_c 4.055
_cell_angle_alpha 90.00
_cell_angle_beta 90.00
_cell_angle_gamma 90.00
_symmetry_space_group_name_H-M 'C m c m'
_symmetry_Int_Tables_number 63
_symmetry_space_group_name_Hall '-C 2c 2'
loop_
_atom_site_label
_atom_site_type_symbol
_atom_site_fract_x
_atom_site_fract_y
_atom_site_fract_z
Ho1 Ho 0.000 0.069 0.250
Pa1 Pa 0.000 0.199 0.750
Ni1 Ni 0.000 0.316 0.750
Ni2 Ni 0.000 0.380 0.250
Ni3 Ni 0.000 0.476 0.250
```

***

The following is a DFT calculation (GGA-PBE) of crystalline Pr2NdTm at its relaxed geometry.

Computed properties:
* formation energy from the elements: 0.014 eV/atom
* energy above the most stable polymorph in this dataset: 0.00 eV per formula unit
* volume: 34.30 Å³ per atom
* ρ: 7.2 g cm⁻³
* uncorrected energy: -4.686 eV/atom

Structure (CIF):
```
data_Pr2NdTm
_cell_length_a 5.165
_cell_length_b 5.165
_cell_length_c 5.142
_cell_angle_alpha 90.00
_cell_angle_beta 90.00
_cell_angle_gamma 90.00
_symmetry_space_group_name_H-M 'P 4/m m m'
_symmetry_Int_Tables_number 123
_symmetry_space_group_name_Hall '-P 4 2'
loop_
_atom_site_label
_atom_site_type_symbol
_atom_site_fract_x
_atom_site_fract_y
_atom_site_fract_z
Pr1 Pr 0.000 0.500 0.000
Nd1 Nd 0.000 0.000 0.500
Tm1 Tm 0.500 0.500 0.500
```

***

The following is a DFT calculation (GGA-PBE) of crystalline TmCrSb2 at its relaxed geometry.

Computed properties:
* volume: 24.49 Å³ per atom
* raw formation energy: -0.383 eV per atom
* ρ: 7.9 g cm⁻³
* uncorrected energy: -5.968 eV/atom

Structure (CIF):
```
data_TmCrSb2
_cell_length_a 4.1842
_cell_length_b 4.1842
_cell_length_c 19.3830
_cell_angle_alpha 90.00
_cell_angle_beta 90.00
_cell_angle_gamma 120.00
_symmetry_space_group_name_H-M 'R -3 m'
_symmetry_Int_Tables_number 166
_symmetry_space_group_name_Hall '-R 3 2"'
loop_
_atom_site_label
_atom_site_type_symbol
_atom_site_fract_x
_atom_site_fract_y
_atom_site_fract_z
Tm1 Tm 0.0000 0.0000 0.0000
Cr1 Cr 0.0000 0.0000 0.5000
Sb1 Sb 0.0000 0.0000 0.2372
```

***

The following is a DFT calculation (GGA-PBE) of crystalline SrZrBe at its relaxed geometry.

Computed properties:
* formation energy from the elements: 0.348 eV/atom
* energy above the most stable polymorph in this dataset: 0.36 eV per formula unit
* volume: 24.61 Å³ per atom
* ρ: 4.2 g cm⁻³
* uncorrected energy: -4.304 eV/atom

Structure (CIF):
```
data_SrZrBe
_cell_length_a 3.395
_cell_length_b 3.395
_cell_length_c 12.809
_cell_angle_alpha 90.00
_cell_angle_beta 90.00
_cell_angle_gamma 90.00
_symmetry_space_group_name_H-M 'I 4 m m'
_symmetry_Int_Tables_number 107
_symmetry_space_group_name_Hall 'I 4 -2'
loop_
_atom_site_label
_atom_site_type_symbol
_atom_site_fract_x
_atom_site_fract_y
_atom_site_fract_z
Sr1 Sr 0.000 0.000 0.000
Zr1 Zr 0.000 0.000 0.267
Be1 Be 0.000 0.000 0.677
```

***

The following is a DFT calculation (GGA-PBE) of crystalline B5C7 at its relaxed geometry.

Computed properties:
* formation energy from the elements: 0.422 eV/atom
* energy above the most stable polymorph in this dataset: 1.97 eV per formula unit
* volume: 6.65 Å³ per atom
* ρ: 2.9 g cm⁻³
* uncorrected energy: -7.741 eV/atom

Structure (CIF):
```
data_B5C7
_cell_length_a 9.004
_cell_length_b 2.607
_cell_length_c 7.526
_cell_angle_alpha 90.00
_cell_angle_beta 115.33
_cell_angle_gamma 90.00
_symmetry_space_group_name_H-M 'C 1 m 1'
_symmetry_Int_Tables_number 8
loop_
_symmetry_equiv_pos_as_xyz
'x,y,z'
'x,-y,z'
'x+1/2,y+1/2,z'
'x+1/2,-y+1/2,z'
loop_
_atom_site_label
_atom_site_type_symbol
_atom_site_fract_x
_atom_site_fract_y
_atom_site_fract_z
B1 B 0.000 0.000 0.000
B2 B 0.043 0.500 0.872
B3 B 0.155 0.000 0.726
B4 B 0.202 0.000 0.230
B5 B 0.375 0.000 0.651
C1 C 0.011 0.000 0.497
C2 C 0.018 0.500 0.379
C3 C 0.174 0.500 0.338
C4 C 0.211 0.500 0.849
C5 C 0.341 0.500 0.524
C6 C 0.356 0.000 0.177
C7 C 0.356 0.500 0.059
```

***

The following is a DFT calculation (GGA-PBE) of crystalline PmPr4Sc2 at its relaxed geometry.

Computed properties:
* formation energy from the elements: 0.235 eV/atom
* energy above the most stable polymorph in this dataset: 0.00 eV per formula unit
* volume: 33.89 Å³ per atom
* ρ: 5.6 g cm⁻³
* uncorrected energy: -4.984 eV/atom

Structure (CIF):
```
data_PmPr4Sc2
_cell_length_a 3.590
_cell_length_b 15.388
_cell_length_c 17.182
_cell_angle_alpha 90.00
_cell_angle_beta 90.12
_cell_angle_gamma 90.00
_symmetry_space_group_name_H-M 'C 1 2/c 1'
_symmetry_Int_Tables_number 15
loop_
_symmetry_equiv_pos_as_xyz
'x,y,z'
'-x,-y,-z'
'-x,y,-z+1/2'
'x,-y,z+1/2'
'x+1/2,y+1/2,z'
'-x+1/2,-y+1/2,-z'
'-x+1/2,y+1/2,-z+1/2'
'x+1/2,-y+1/2,z+1/2'
loop_
_atom_site_label
_atom_site_type_symbol
_atom_site_fract_x
_atom_site_fract_y
_atom_site_fract_z
Pm1 Pm 0.000 0.097 0.250
Pr1 Pr 0.002 0.064 0.915
Pr2 Pr 0.002 0.329 0.576
Sc1 Sc 0.000 0.227 0.750
Sc2 Sc 0.000 0.428 0.250
```